Record 1
12
Lattice="-4.7669 1.2106 0.1977 -1.6869 -7.1443 3.0742 4.9318 7.9749 8.8062" Properties=species:S:1:pos:R:3 comment="KAl2Te3 GGA-PBE optimized geometry" e_form_raw_ev_per_fu=-3.070 energy_ev_per_cell=-42.16 n_ef_per_ev_fu=1.40 magmom_total_mub_per_fu=0.0 pbc="T T T"
K 1.5514 5.0071 6.7467
K -3.0734 -2.9658 5.3314
Al 0.4886 0.7423 7.2346
Al -2.0105 1.2989 4.8435
Al -1.4916 2.4271 10.4465
Al -0.0303 -0.3859 1.6317
Te 0.6870 1.9269 4.7647
Te -1.1806 -5.2303 3.5607
Te 1.0054 2.4589 9.1858
Te -2.2089 0.1143 7.3134
Te -2.5274 -0.4177 2.8923
Te -0.3413 7.2715 8.5174

---

Record 2
4
Lattice="4.0606 0.0000 0.0000 0.0000 4.0216 -0.0234 0.0000 0.0494 7.2559" Properties=species:S:1:pos:R:3 comment="KAl2Te GGA-PBE optimized geometry" e_form_raw_ev_per_fu=-0.595 energy_ev_per_cell=-12.32 n_ef_per_ev_fu=1.23 magmom_total_mub_per_fu=0.0 pbc="T T T"
K 0.0000 1.5396 3.6671
Te 2.0303 3.5613 5.7786
Al 0.0000 3.5190 0.6792
Al 2.0303 1.5083 0.7006

---

Record 3
5
Lattice="-1.4369 -4.2448 -3.4706 5.2854 -2.0268 0.2906 -1.4586 -3.1625 4.4720" Properties=species:S:1:pos:R:3 comment="KAl3Te GGA-PBE optimized geometry" e_form_raw_ev_per_fu=3.261 energy_ev_per_cell=-12.21 n_ef_per_ev_fu=3.78 magmom_total_mub_per_fu=0.0 pbc="T T T"
K 1.1949 -4.7171 0.6460
Te 0.0000 0.0000 0.0000
Al 2.6427 -1.0134 0.1453
Al -0.7293 -1.5813 2.2360
Al -0.7185 -2.1224 -1.7353

---

Record 4
4
Lattice="8.7900 0.0362 0.0508 7.9867 3.6713 0.0508 0.9281 0.2051 3.9801" Properties=species:S:1:pos:R:3 comment="KAlTe2 GGA-PBE optimized geometry" e_form_raw_ev_per_fu=-1.723 energy_ev_per_cell=-12.85 n_ef_per_ev_fu=1.26 magmom_total_mub_per_fu=0.0 pbc="T T T"
K 3.5881 0.7929 1.2230
Te 1.2926 0.2857 3.8931
Te 14.5051 3.2055 2.7594
Al 8.0993 1.7899 2.2273

---

Record 5
4
Lattice="-4.2957 -1.8373 -4.5449 0.1876 -6.0055 -2.5268 0.0550 2.8882 5.8430" Properties=species:S:1:pos:R:3 comment="KAlTe2 GGA-PBE optimized geometry" e_form_raw_ev_per_fu=-0.342 energy_ev_per_cell=-11.47 n_ef_per_ev_fu=2.02 magmom_total_mub_per_fu=0.0 pbc="T T T"
K -3.1474 -1.4352 -1.1189
Te 0.0000 0.0000 0.0000
Te -0.9058 -3.5193 -0.1098
Al -2.0541 -3.9214 -3.5359

---

Record 6
4
Lattice="-3.3858 0.5139 0.3602 -0.4747 -0.8112 -3.3128 -1.2911 -10.4249 2.7377" Properties=species:S:1:pos:R:3 comment="KAlTe2 GGA-PBE optimized geometry" e_form_raw_ev_per_fu=-0.457 energy_ev_per_cell=-11.58 n_ef_per_ev_fu=1.30 magmom_total_mub_per_fu=0.0 pbc="T T T"
K -2.8781 -7.8016 0.5334
Te -1.2556 -10.1379 2.6623
Te -2.3441 -3.4905 -0.5987
Al -0.6105 -4.9296 1.2946

---

Record 7
6
Lattice="0.0000 4.6300 4.6300 4.6300 0.0000 4.6300 4.6300 4.6300 0.0000" Properties=species:S:1:pos:R:3 comment="KAlTe4 GGA-PBE optimized geometry" e_form_raw_ev_per_fu=0.169 energy_ev_per_cell=-17.24 n_ef_per_ev_fu=0.86 magmom_total_mub_per_fu=0.0 pbc="T T T"
K 0.0000 0.0000 0.0000
Al 6.9449 6.9449 6.9449
Te 3.4776 5.7823 5.7823
Te 5.7823 5.7823 3.4776
Te 5.7823 3.4776 5.7823
Te 3.4776 3.4776 3.4776

---

Record 8
4
Lattice="-7.2421 3.5123 5.1805 -9.1157 2.1744 1.9486 -8.2175 -0.3236 4.8980" Properties=species:S:1:pos:R:3 comment="KAl2Te GGA-PBE optimized geometry" e_form_raw_ev_per_fu=0.509 energy_ev_per_cell=-11.22 n_ef_per_ev_fu=2.12 magmom_total_mub_per_fu=0.0 pbc="T T T"
K -6.1438 1.3408 3.0068
Te -18.4315 4.0223 9.0203
Al -0.4397 0.0960 0.2152
Al -11.8479 2.5856 5.7983

---

Record 9
4
Lattice="-0.9914 4.8092 -1.4306 -4.3338 -1.5584 -2.2355 -2.2179 0.6807 3.8252" Properties=species:S:1:pos:R:3 comment="KAlTe2 GGA-PBE optimized geometry" e_form_raw_ev_per_fu=-0.578 energy_ev_per_cell=-11.70 n_ef_per_ev_fu=1.31 magmom_total_mub_per_fu=0.0 pbc="T T T"
K -3.2758 -0.4389 0.7949
Te 0.0000 0.0000 0.0000
Te -2.6626 1.6254 -1.8330
Al -1.6046 2.7449 1.1973

---

Record 10
4
Lattice="6.4332 -0.0034 -0.0021 0.7890 6.3847 0.0021 -2.0179 -4.9938 3.5180" Properties=species:S:1:pos:R:3 comment="KAlTe2 GGA-PBE optimized geometry" e_form_raw_ev_per_fu=-1.828 energy_ev_per_cell=-12.95 magmom_total_mub_per_fu=0.0 pbc="T T T"
K 1.1911 2.2907 1.7601
Te 6.7878 5.9974 0.0000
Te 4.0456 3.5745 0.0000
Al 4.0132 -0.9033 1.7579

---

Record 11
4
Lattice="-4.4262 -0.1003 -0.6006 0.7280 -0.6643 -5.2542 0.3972 -6.7423 -1.8018" Properties=species:S:1:pos:R:3 comment="K2AlTe GGA-PBE optimized geometry" e_form_raw_ev_per_fu=-1.525 energy_ev_per_cell=-10.60 n_ef_per_ev_fu=1.70 magmom_total_mub_per_fu=0.0 pbc="T T T"
K 1.0777 -6.8038 -6.8061
K -1.8842 -2.5085 -2.3136
Te 0.6980 -3.7311 -4.5210
Al -1.5045 -5.5734 -4.6001

---

Record 12
4
Lattice="-4.8906 -1.4053 1.7809 -3.8769 -1.3009 -3.5130 -1.6540 -5.1141 -0.4175" Properties=species:S:1:pos:R:3 comment="KAl2Te GGA-PBE optimized geometry" e_form_raw_ev_per_fu=0.865 energy_ev_per_cell=-10.86 n_ef_per_ev_fu=2.94 magmom_total_mub_per_fu=0.0 pbc="T T T"
K -5.2107 -3.9102 -1.0748
Te -7.8161 -5.8653 -1.6122
Al 0.0000 0.0000 0.0000
Al -2.6054 -1.9551 -0.5374

---

Record 13
8
Lattice="-6.4958 -5.7835 -0.3059 1.5420 -2.1703 8.2855 -4.5620 -1.6872 4.9776" Properties=species:S:1:pos:R:3 comment="KAl2Te GGA-PBE optimized geometry" e_form_raw_ev_per_fu=0.259 energy_ev_per_cell=-22.93 n_ef_per_ev_fu=1.35 magmom_total_mub_per_fu=0.0 pbc="T T T"
K -2.4769 -3.9769 3.9898
K -2.7484 -3.9172 8.6264
Te 0.0000 0.0000 0.0000
Te -6.7673 -5.7238 4.3307
Al -5.2819 -4.5520 2.0759
Al -0.7144 -2.2569 6.3975
Al -5.3443 -4.1564 6.3756
Al -7.6909 -8.3166 11.0652

---

Record 14
4
Lattice="3.9709 0.0000 0.0000 0.0000 3.9645 0.0000 0.0000 0.0000 8.8052" Properties=species:S:1:pos:R:3 comment="KAlTe2 GGA-PBE optimized geometry" e_form_raw_ev_per_fu=-1.813 energy_ev_per_cell=-12.94 n_ef_per_ev_fu=0.83 magmom_total_mub_per_fu=0.0 pbc="T T T"
K 1.9855 1.9822 6.9810
Te 0.0000 0.0000 0.0832
Te 1.9855 1.9822 3.4696
Al 0.0000 0.0000 2.6741

---

Record 15
4
Lattice="5.9413 0.0009 0.0000 2.2177 5.5119 0.0000 -4.0795 -2.7564 3.3255" Properties=species:S:1:pos:R:3 comment="KAl2Te GGA-PBE optimized geometry" e_form_raw_ev_per_fu=0.534 energy_ev_per_cell=-11.19 n_ef_per_ev_fu=2.03 magmom_total_mub_per_fu=0.0 pbc="T T T"
K 4.0795 2.7564 0.0000
Te 2.9706 0.0005 1.6628
Al 0.0000 0.0000 0.0000
Al 1.1088 2.7559 1.6628

---

Record 16
3
Lattice="5.5851 0.0000 0.0000 2.7925 4.8368 0.0000 2.7925 1.6123 4.5602" Properties=species:S:1:pos:R:3 comment="KAlTe GGA-PBE optimized geometry" e_form_raw_ev_per_fu=-0.485 energy_ev_per_cell=-8.47 magmom_total_mub_per_fu=0.0 pbc="T T T"
K 5.5851 3.2245 2.2801
Te 8.3776 4.8368 3.4201
Al 0.0000 0.0000 0.0000

---

Record 17
4
Lattice="5.8438 0.2866 0.0000 4.3119 3.9548 0.0000 0.0000 0.0000 9.2651" Properties=species:S:1:pos:R:3 comment="KAlTe2 GGA-PBE optimized geometry" e_form_raw_ev_per_fu=-1.632 energy_ev_per_cell=-12.76 magmom_total_mub_per_fu=0.0 pbc="T T T"
K 5.0779 2.1207 6.9488
Te 0.0000 0.0000 0.4849
Te 0.0000 0.0000 4.1477
Al 5.0779 2.1207 2.3163

---

Record 18
4
Lattice="7.2049 -0.0033 -0.0104 6.0172 3.9627 -0.0104 2.6500 0.7936 5.1713" Properties=species:S:1:pos:R:3 comment="K2AlTe GGA-PBE optimized geometry" e_form_raw_ev_per_fu=-1.354 energy_ev_per_cell=-10.43 n_ef_per_ev_fu=1.43 magmom_total_mub_per_fu=0.8 pbc="T T T"
K 12.9511 3.8782 0.0226
K 12.2295 3.6622 3.8014
Te 8.3413 2.4978 2.1888
Al 3.5084 1.0506 1.6925

---

Record 19
4
Lattice="-3.0447 -4.2700 -3.5503 1.6172 -5.7672 -2.0573 -2.0911 -3.8248 2.6941" Properties=species:S:1:pos:R:3 comment="K2AlTe GGA-PBE optimized geometry" e_form_raw_ev_per_fu=-0.924 energy_ev_per_cell=-10.00 n_ef_per_ev_fu=0.31 magmom_total_mub_per_fu=1.0 pbc="T T T"
K -2.0906 -3.8253 2.6922
K -1.7597 -6.9304 -1.4547
Te -2.6389 -10.3965 -2.1851
Al -0.8796 -3.4655 -0.7284

---

Record 20
12
Lattice="-1.3658 -5.9121 2.7482 6.0146 -5.3381 1.6620 4.0560 1.4005 10.1069" Properties=species:S:1:pos:R:3 comment="KAlTe4 GGA-PBE optimized geometry" e_form_raw_ev_per_fu=-2.843 energy_ev_per_cell=-40.50 magmom_total_mub_per_fu=0.0 pbc="T T T"
K 2.1607 -6.4134 4.4642
K 6.5441 -3.4363 10.0529
Al 5.6813 -6.7848 2.4205
Al 3.0236 -3.0649 12.0966
Te 3.9378 -5.4939 11.5425
Te 1.6435 -5.5826 8.8142
Te 7.8395 -7.0780 11.7963
Te 3.5514 -3.8546 7.8404
Te 5.1534 -5.9951 6.6767
Te 0.8653 -2.7717 2.7207
Te 7.0613 -4.2671 5.7029
Te 4.7670 -4.3558 2.9746

---

Record 21
4
Lattice="-5.6335 0.1944 -2.5608 -5.7622 -2.2452 0.2958 -3.5177 3.8325 3.1144" Properties=species:S:1:pos:R:3 comment="KAl2Te GGA-PBE optimized geometry" e_form_raw_ev_per_fu=-0.002 energy_ev_per_cell=-11.73 n_ef_per_ev_fu=1.69 magmom_total_mub_per_fu=0.0 pbc="T T T"
K -11.1851 1.3363 0.6371
Te -3.7284 0.4454 0.2124
Al -11.3396 -1.4279 -1.7305
Al -7.5128 0.2679 -0.1098

---

Record 22
32
Lattice="-8.0264 2.3703 1.2677 -1.1358 -6.5961 5.1817 7.0610 10.3314 11.2401" Properties=species:S:1:pos:R:3 comment="KAlTe2 GGA-PBE optimized geometry" e_form_raw_ev_per_fu=-3.195 energy_ev_per_cell=-114.54 n_ef_per_ev_fu=0.00 magmom_total_mub_per_fu=0.0 pbc="T T T"
K 2.2034 1.5107 11.0734
K -5.6551 1.9769 2.9950
K -4.3046 4.5950 6.6160
K -1.7742 2.7920 11.8101
K 4.0656 7.3576 11.9891
K -0.3270 3.3137 5.8794
K 3.5539 4.1288 14.6945
K -6.1668 -1.2519 5.7003
Te -2.4025 -2.9320 4.3731
Te -0.6451 0.5094 9.1642
Te 0.3013 9.0377 13.3164
Te -1.4560 5.5963 8.5253
Te 0.8531 -0.1102 5.1033
Te -3.9019 -2.3108 8.4333
Te -2.9543 6.2159 12.5862
Te 1.8007 8.4165 9.2562
Te -4.6611 1.6632 9.7595
Te -1.8211 0.3835 1.8268
Te 2.5600 4.4425 7.9299
Te -0.2801 5.7222 15.8627
Te 0.2625 -3.5358 7.7833
Te -2.3637 9.6415 9.9062
Te -3.3143 1.1186 5.7516
Te 1.2131 4.9871 11.9379
Al 0.1209 9.7622 10.7754
Al -2.2221 -3.6565 6.9141
Al 0.8763 -0.9806 7.5898
Al 0.9893 5.9209 9.4841
Al -0.4415 6.4976 13.3247
Al -3.0905 0.1848 8.2054
Al -1.6597 -0.3919 4.3647
Al -2.9775 7.0863 10.0996

---

Record 23
3
Lattice="5.4170 0.0000 0.0000 2.7085 4.6913 0.0000 2.7085 1.5638 4.4230" Properties=species:S:1:pos:R:3 comment="KAlTe GGA-PBE optimized geometry" e_form_raw_ev_per_fu=0.195 energy_ev_per_cell=-7.79 magmom_total_mub_per_fu=0.0 pbc="T T T"
K 8.1255 4.6913 3.3172
Te 0.0000 0.0000 0.0000
Al 5.4170 3.1275 2.2115

---

Record 24
4
Lattice="-4.5223 0.1779 0.6650 0.6132 -0.9661 4.4289 0.4566 6.5243 1.3600" Properties=species:S:1:pos:R:3 comment="K2AlTe GGA-PBE optimized geometry" e_form_raw_ev_per_fu=-0.815 energy_ev_per_cell=-9.89 n_ef_per_ev_fu=2.43 magmom_total_mub_per_fu=0.0 pbc="T T T"
K 0.0076 0.1092 0.0228
K 0.2207 3.1529 0.6572
Te -1.8404 1.2370 2.8870
Al -1.6121 4.4991 3.5670

---

Record 25
4
Lattice="3.1559 0.0000 0.0000 0.0000 8.8359 0.0413 0.0000 4.7623 4.4232" Properties=species:S:1:pos:R:3 comment="KAlTe2 GGA-PBE optimized geometry" e_form_raw_ev_per_fu=-0.940 energy_ev_per_cell=-12.06 n_ef_per_ev_fu=2.26 magmom_total_mub_per_fu=0.0 pbc="T T T"
K 0.0000 2.3812 2.2116
Te 0.0000 0.0000 0.0000
Te 1.5780 4.4180 0.0206
Al 1.5780 6.7991 2.2323

---

Record 26
4
Lattice="5.5869 0.0000 0.0000 2.7934 4.8384 0.0000 2.7934 1.6128 4.5617" Properties=species:S:1:pos:R:3 comment="KAlTe2 GGA-PBE optimized geometry" e_form_raw_ev_per_fu=0.262 energy_ev_per_cell=-10.86 n_ef_per_ev_fu=3.26 magmom_total_mub_per_fu=0.0 pbc="T T T"
K 8.3803 4.8384 3.4213
Te 0.0000 0.0000 0.0000
Te 2.7934 1.6128 1.1404
Al 5.5869 3.2256 2.2808

---

Record 27
4
Lattice="6.4868 0.0217 0.0000 2.4446 6.0085 0.0000 -4.4657 -3.0151 3.6118" Properties=species:S:1:pos:R:3 comment="K2AlTe GGA-PBE optimized geometry" e_form_raw_ev_per_fu=-0.656 energy_ev_per_cell=-9.74 n_ef_per_ev_fu=2.16 magmom_total_mub_per_fu=0.0 pbc="T T T"
K 0.0000 0.0000 0.0000
K 1.2223 3.0043 1.8059
Te 4.4657 3.0151 0.0000
Al 3.2434 0.0108 1.8059

---

Record 28
4
Lattice="-8.7290 -1.5185 7.2855 -6.5334 -4.5100 8.2797 -5.8651 -1.0468 9.8023" Properties=species:S:1:pos:R:3 comment="K2AlTe GGA-PBE optimized geometry" e_form_raw_ev_per_fu=0.146 energy_ev_per_cell=-8.93 n_ef_per_ev_fu=3.66 magmom_total_mub_per_fu=0.0 pbc="T T T"
K -21.0200 -7.0393 25.2385
K -10.6712 -3.5736 12.8128
Te -5.2819 -1.7688 6.3419
Al -15.8456 -5.3065 19.0256